Entry 1:
Below is crystalline Y2Ni12P7 at its relaxed geometry, with properties calculated at the PBEsol level.

a = 3.642 Å, b = 8.927 Å, c = 8.927 Å
α = 120.00°, β = 90.00°, γ = 90.00°
Fractional coordinates of all 21 atoms:
Ni: 0.500 0.286 0.383
Ni: 0.000 0.041 0.273
Ni: 0.000 0.232 0.959
Ni: 0.000 0.516 0.457
Ni: 0.500 0.096 0.714
Ni: 0.500 0.617 0.904
Ni: 0.000 0.543 0.059
Ni: 0.500 0.786 0.239
Ni: 0.500 0.761 0.547
Ni: 0.000 0.941 0.484
Ni: 0.500 0.453 0.214
Ni: 0.000 0.727 0.768
Y: 0.500 0.000 0.000
Y: 0.000 0.333 0.667
P: 0.000 0.261 0.221
P: 0.500 0.558 0.629
P: 0.500 0.071 0.442
P: 0.000 0.960 0.739
P: 0.500 0.371 0.929
P: 0.000 0.667 0.333
P: 0.000 0.779 0.040

Calculated values
The total energy is -6.953 eV/atom. The formation energy comes out at -0.854 eV per atom.

Entry 2:
Below is crystalline Y6Ni20P13 at its relaxed geometry, with properties calculated at the PBEsol level.

a = 3.709 Å, b = 12.502 Å, c = 12.502 Å
α = 120.00°, β = 90.00°, γ = 90.00°
Fractional coordinates of all 39 atoms:
Ni: 0.500 0.435 0.022
Ni: 0.000 0.105 0.910
Ni: 0.500 0.978 0.413
Ni: 0.500 0.587 0.565
Ni: 0.500 0.246 0.317
Ni: 0.500 0.921 0.071
Ni: 0.500 0.929 0.850
Ni: 0.000 0.667 0.333
Ni: 0.500 0.150 0.079
Ni: 0.000 0.922 0.242
Ni: 0.000 0.090 0.196
Ni: 0.000 0.804 0.895
Ni: 0.000 0.758 0.680
Ni: 0.000 0.021 0.584
Ni: 0.000 0.416 0.438
Ni: 0.500 0.333 0.667
Ni: 0.500 0.070 0.754
Ni: 0.000 0.562 0.979
Ni: 0.500 0.683 0.930
Ni: 0.000 0.320 0.078
Y: 0.000 0.282 0.812
Y: 0.000 0.530 0.718
Y: 0.000 0.188 0.470
Y: 0.500 0.812 0.531
Y: 0.500 0.469 0.281
Y: 0.500 0.719 0.188
P: 0.500 0.232 0.954
P: 0.000 0.952 0.718
P: 0.500 0.476 0.863
P: 0.500 0.046 0.278
P: 0.500 0.137 0.613
P: 0.500 0.722 0.768
P: 0.000 0.523 0.137
P: 0.000 0.614 0.477
P: 0.000 0.000 0.000
P: 0.000 0.282 0.234
P: 0.000 0.863 0.386
P: 0.000 0.766 0.048
P: 0.500 0.387 0.524

Calculated values
The total energy is -7.138 eV/atom. The formation energy comes out at -1.000 eV per atom.

Entry 3:
Below is crystalline YNi5P3 at its relaxed geometry, with properties calculated at the PBEsol level.

a = 3.680 Å, b = 6.644 Å, c = 17.897 Å
α = 90.00°, β = 90.00°, γ = 90.00°
Fractional coordinates of all 36 atoms:
Ni: 0.750 0.872 0.996
Ni: 0.250 0.136 0.387
Ni: 0.750 0.380 0.011
Ni: 0.250 0.684 0.701
Ni: 0.250 0.816 0.201
Ni: 0.750 0.928 0.295
Ni: 0.750 0.864 0.613
Ni: 0.250 0.072 0.705
Ni: 0.250 0.428 0.205
Ni: 0.250 0.128 0.004
Ni: 0.750 0.636 0.113
Ni: 0.750 0.572 0.795
Ni: 0.250 0.364 0.887
Ni: 0.750 0.316 0.299
Ni: 0.750 0.120 0.511
Ni: 0.250 0.880 0.489
Ni: 0.750 0.184 0.799
Ni: 0.750 0.628 0.496
Ni: 0.250 0.372 0.504
Ni: 0.250 0.620 0.989
P: 0.250 0.854 0.076
P: 0.750 0.146 0.924
P: 0.750 0.354 0.424
P: 0.250 0.646 0.576
P: 0.750 0.601 0.917
P: 0.250 0.123 0.263
P: 0.750 0.899 0.417
P: 0.750 0.877 0.737
P: 0.250 0.101 0.583
P: 0.750 0.623 0.237
P: 0.250 0.377 0.763
P: 0.250 0.399 0.083
Y: 0.250 0.620 0.358
Y: 0.750 0.120 0.142
Y: 0.750 0.380 0.642
Y: 0.250 0.880 0.858

Calculated values
The total energy is -6.990 eV/atom. The formation energy comes out at -0.881 eV per atom.

Entry 4:
Below is crystalline YNiP2 at its relaxed geometry, with properties calculated at the PBEsol level.

a = 3.765 Å, b = 3.765 Å, c = 5.149 Å
α = 111.45°, β = 111.45°, γ = 90.00°
Fractional coordinates of all 4 atoms:
Ni: 0.250 0.750 0.500
Y: 0.500 0.500 0.000
P: 0.750 0.250 0.500
P: 0.000 0.000 0.000

Calculated values
The total energy is -6.627 eV/atom. The formation energy comes out at -0.486 eV per atom.

Entry 5:
Below is crystalline YNiP2 at its relaxed geometry, with properties calculated at the PBEsol level.

a = 4.425 Å, b = 4.425 Å, c = 4.425 Å
α = 94.68°, β = 117.33°, γ = 117.33°
Fractional coordinates of all 4 atoms:
Ni: 0.000 0.000 0.000
P: 0.500 0.250 0.750
P: 0.500 0.750 0.250
Y: 0.000 0.500 0.500

Calculated values
The total energy is -6.515 eV/atom. The formation energy comes out at -0.375 eV per atom.

Entry 6:
Below is crystalline ZnNi2P at its relaxed geometry, with properties calculated at the PBEsol level.

a = 3.427 Å, b = 3.427 Å, c = 4.514 Å
α = 112.31°, β = 112.31°, γ = 90.00°
Fractional coordinates of all 4 atoms:
Zn: 0.250 0.750 0.500
P: 0.500 0.500 0.000
Ni: 0.000 0.000 0.000
Ni: 0.750 0.250 0.500

Calculated values
The total energy is -5.156 eV/atom. The formation energy comes out at -0.234 eV per atom. Its energy above the most stable polymorph in this dataset is 51 meV/atom.

Entry 7:
Below is crystalline Zn2NiP at its relaxed geometry, with properties calculated at the PBEsol level.

a = 3.672 Å, b = 3.697 Å, c = 3.697 Å
α = 90.00°, β = 90.00°, γ = 90.00°
Fractional coordinates of all 4 atoms:
Zn: 0.000 0.000 0.500
Zn: 0.000 0.500 0.000
P: 0.500 0.000 0.000
Ni: 0.500 0.500 0.500

Calculated values
The total energy is -3.822 eV/atom. The formation energy comes out at -0.043 eV per atom.

Entry 8:
Below is crystalline ZnNi2P at its relaxed geometry, with properties calculated at the PBEsol level.

a = 3.062 Å, b = 3.820 Å, c = 3.820 Å
α = 90.00°, β = 90.00°, γ = 90.00°
Fractional coordinates of all 4 atoms:
Zn: 0.500 0.000 0.000
P: 0.500 0.500 0.500
Ni: 0.000 0.000 0.500
Ni: 0.000 0.500 0.000

Calculated values
The total energy is -5.171 eV/atom. The formation energy comes out at -0.249 eV per atom. Its energy above the most stable polymorph in this dataset is 36 meV/atom.

Entry 9:
Below is crystalline Zn2NiP at its relaxed geometry, with properties calculated at the PBEsol level.

a = 2.721 Å, b = 2.721 Å, c = 8.313 Å
α = 80.58°, β = 80.58°, γ = 60.00°
Fractional coordinates of all 4 atoms:
Zn: 0.244 0.244 0.269
Zn: 0.756 0.756 0.731
Ni: 0.500 0.500 0.500
P: 0.000 0.000 0.000

Calculated values
The total energy is -3.679 eV/atom. The formation energy comes out at 0.099 eV per atom.

Entry 10:
Below is crystalline Zn2NiP at its relaxed geometry, with properties calculated at the PBEsol level.

a = 3.281 Å, b = 3.281 Å, c = 4.754 Å
α = 90.00°, β = 90.00°, γ = 90.00°
Fractional coordinates of all 4 atoms:
Zn: 0.000 0.000 0.246
Zn: 0.000 0.000 0.754
P: 0.500 0.500 0.500
Ni: 0.500 0.500 0.000

Calculated values
The total energy is -3.857 eV/atom. The formation energy comes out at -0.079 eV per atom.

Entry 11:
Below is crystalline ZnNi2P at its relaxed geometry, with properties calculated at the PBEsol level.

a = 2.781 Å, b = 2.781 Å, c = 5.867 Å
α = 90.00°, β = 90.00°, γ = 90.00°
Fractional coordinates of all 4 atoms:
P: 0.500 0.500 0.000
Ni: 0.000 0.000 0.784
Ni: 0.000 0.000 0.216
Zn: 0.500 0.500 0.500

Calculated values
The total energy is -5.207 eV/atom. The formation energy comes out at -0.285 eV per atom. Its energy above the most stable polymorph in this dataset is 0 meV/atom.

Entry 12:
Below is crystalline ZrNiP at its relaxed geometry, with properties calculated at the PBEsol level.

a = 4.459 Å, b = 4.459 Å, c = 5.125 Å
α = 90.00°, β = 90.00°, γ = 120.00°
Fractional coordinates of all 6 atoms:
Ni: 0.000 0.000 0.000
Ni: 0.000 0.000 0.500
Zr: 0.667 0.333 0.250
Zr: 0.333 0.667 0.750
P: 0.667 0.333 0.750
P: 0.333 0.667 0.250

Calculated values
The total energy is -7.668 eV/atom. The formation energy comes out at -0.655 eV per atom.

| no. | spin magnetization (μB per formula unit) |
| --- | --- |
| 1 | 0.00 |
| 2 | 0.00 |
| 3 | 0.00 |
| 4 | 0.00 |
| 5 | 0.00 |
| 6 | 0.00 |
| 7 | 0.00 |
| 8 | 0.00 |
| 9 | 0.00 |
| 10 | 0.00 |
| 11 | 0.00 |
| 12 | 0.00 |